Entry 1:
Th4Bi3Os2: relaxed, PBE.

Unit cell a=9.1574 b=9.1574 c=6.4318 alpha=93.00 beta=93.00 gamma=80.32
Last column: nearest neighbours and their distance in Å.
Fractional positions:
Th (0.0565, 0.7411, 0.9563)  2 Os 2.72-2.94
Th (0.2493, 0.4295, 0.3315)  2 Os 2.86-2.91
Th (0.2589, 0.9435, 0.5437)  2 Os 2.72-2.94
Th (0.4295, 0.2493, 0.8315)  2 Os 2.86-2.91
Th (0.5705, 0.7507, 0.1685)  2 Os 2.86-2.91
Th (0.7411, 0.0565, 0.4563)  2 Os 2.72-2.94
Th (0.7507, 0.5705, 0.6685)  2 Os 2.86-2.91
Th (0.9435, 0.2589, 0.0437)  2 Os 2.72-2.94
Bi (0.0157, 0.2630, 0.5633)  1 Os 3.01, 4 Th 3.20-3.37
Bi (0.2630, 0.0157, 0.0633)  1 Os 3.01, 4 Th 3.20-3.37
Bi (0.3849, 0.6151, 0.7500)  2 Os 3.10, 6 Th 3.35-3.40
Bi (0.6151, 0.3849, 0.2500)  2 Os 3.10, 6 Th 3.35-3.40
Bi (0.7370, 0.9843, 0.9367)  1 Os 3.01, 4 Th 3.20-3.37
Bi (0.9843, 0.7370, 0.4367)  1 Os 3.01, 4 Th 3.20-3.37
Os (0.1495, 0.4440, 0.9038)  4 Th 2.72-2.94, 1 Bi 3.01
Os (0.4440, 0.1495, 0.4038)  4 Th 2.72-2.94, 1 Bi 3.01
Os (0.5560, 0.8505, 0.5962)  4 Th 2.72-2.94, 1 Bi 3.01
Os (0.8505, 0.5560, 0.0962)  4 Th 2.72-2.94, 1 Bi 3.01

Results
Crystal system: monoclinic
Magnetic moment: 0.0000 μB/atom
Space group: C2/c (15)
ΔH_f (0 K): -0.29 eV per atom
E: -7.37 eV per atom



Entry 2:
NaCa3Pt: relaxed, PBE.

Unit cell a=5.6508 b=7.9742 c=9.0050 alpha=116.20 beta=90.05 gamma=90.03
Last column: nearest neighbours and their distance in Å.
Fractional positions:
Na (0.9999, 0.1207, 0.2421)  1 Na 3.91, 11 Ca 3.98-4.06
Na (0.0001, 0.8793, 0.7579)  1 Na 3.91, 11 Ca 3.98-4.06
Ca (0.0000, 0.3724, 0.7450)  2 Pt 2.83
Ca (0.0000, 0.6276, 0.2550)  2 Pt 2.83
Ca (0.5000, 0.0000, 0.5000)  2 Pt 2.81
Ca (0.5000, 0.2548, 0.0005)  2 Pt 2.84
Ca (0.5000, 0.5000, 0.5000)  2 Pt 2.81
Ca (0.5000, 0.7452, 0.9995)  2 Pt 2.84
Pt (0.5000, 0.3721, 0.7450)  6 Ca 2.81-2.84
Pt (0.5000, 0.6279, 0.2550)  6 Ca 2.81-2.84

Results
Crystal system: triclinic
Magnetic moment: 0.0000 μB/atom
Space group: P-1 (2)
Excess energy over the best structure of this formula in the dataset: 24 meV per atom
ΔH_f (0 K): -0.44 eV per atom
E: -3.12 eV per atom



Entry 3:
Li2Ce3Zn9: relaxed, PBE.

Unit cell a=8.2923 b=8.2923 c=8.2923 alpha=148.23 beta=116.61 gamma=72.66
Last column: nearest neighbours and their distance in Å.
Fractional positions:
Li (0.1790, 0.0000, 0.1790)  4 Zn 2.61-2.75
Li (0.8210, 0.0000, 0.8210)  4 Zn 2.61-2.75
Ce (0.2154, 0.2154, 0.0000)  12 Zn 3.09-3.21, 2 Li 3.27
Ce (0.5000, 0.5000, 0.0000)  12 Zn 3.13-3.35
Ce (0.7846, 0.7846, 0.0000)  12 Zn 3.09-3.21, 2 Li 3.27
Zn (0.0000, 0.5000, 0.5000)  4 Zn 2.59, 4 Li 2.75
Zn (0.0720, 0.3627, 0.7093)  4 Zn 2.59-2.79
Zn (0.1959, 0.8418, 0.3541)  4 Zn 2.54-2.79, 1 Li 2.61
Zn (0.3466, 0.6373, 0.7093)  4 Zn 2.59-2.79
Zn (0.4876, 0.8418, 0.6459)  4 Zn 2.54-2.79, 1 Li 2.61
Zn (0.5124, 0.1582, 0.3541)  4 Zn 2.54-2.79, 1 Li 2.61
Zn (0.6534, 0.3627, 0.2907)  4 Zn 2.59-2.79
Zn (0.8041, 0.1582, 0.6459)  4 Zn 2.54-2.79, 1 Li 2.61
Zn (0.9280, 0.6373, 0.2907)  4 Zn 2.59-2.79

Results
Crystal system: orthorhombic
Magnetic moment: 0.1737 μB/atom
Space group: Immm (71)
ΔH_f (0 K): -0.25 eV per atom
E: -2.62 eV per atom



Entry 4:
Pu2CuAu: relaxed, PBE.

Unit cell a=3.8401 b=3.8401 c=6.0086 alpha=90.00 beta=90.00 gamma=90.00
Last column: nearest neighbours and their distance in Å.
Fractional positions:
Pu (0.0000, 0.0000, 0.2454)  2 Pu 2.95-3.06, 4 Cu 3.09, 4 Au 3.12
Pu (0.0000, 0.0000, 0.7546)  2 Pu 2.95-3.06, 4 Cu 3.09, 4 Au 3.12
Cu (0.5000, 0.5000, 0.0000)  2 Au 3.00, 8 Pu 3.09
Au (0.5000, 0.5000, 0.5000)  2 Cu 3.00, 8 Pu 3.12

Results
Crystal system: tetragonal
Magnetic moment: 2.9462 μB/atom
Space group: P4/mmm (123)
ΔH_f (0 K): -0.13 eV per atom
E: -9.14 eV per atom



Entry 5:
CsKAg: relaxed, PBE.

Unit cell a=6.9143 b=5.0821 c=9.9779 alpha=90.00 beta=100.46 gamma=90.00
Last column: nearest neighbours and their distance in Å.
Fractional positions:
Cs (0.2078, 0.2500, 0.3229)  3 Ag 3.72-3.90
Cs (0.7922, 0.7500, 0.6771)  3 Ag 3.72-3.90
K (0.3375, 0.2500, 0.8626)  4 Ag 3.46-3.82
K (0.6625, 0.7500, 0.1374)  4 Ag 3.46-3.82
Ag (0.1046, 0.7500, 0.0223)  2 Ag 2.92
Ag (0.8954, 0.2500, 0.9777)  2 Ag 2.92

Results
Crystal system: monoclinic
Magnetic moment: 0.0000 μB/atom
Space group: P2_1/m (11)
Excess energy over the best structure of this formula in the dataset: 0 meV per atom
ΔH_f (0 K): 0.01 eV per atom
E: -1.59 eV per atom



Entry 6:
CrGaS2: relaxed, PBE.

Unit cell a=7.5350 b=7.5350 c=7.5350 alpha=26.09 beta=26.09 gamma=26.09
Last column: nearest neighbours and their distance in Å.
Fractional positions:
Cr (0.0000, 0.0000, 0.0000)  2 S 2.18
Ga (0.5000, 0.5000, 0.5000)  6 S 2.44
S (0.1000, 0.1000, 0.1000)  1 Cr 2.18
S (0.9000, 0.9000, 0.9000)  1 Cr 2.18

Results
Crystal system: trigonal
Magnetic moment: 0.0000 μB/atom
Space group: R-3m (166)
E: -5.02 eV per atom



Entry 7:
Ti2SiIr5: relaxed, PBE.

Unit cell a=5.4383 b=10.6870 c=3.9360 alpha=90.00 beta=90.00 gamma=90.00
Last column: nearest neighbours and their distance in Å.
Fractional positions:
Ti (0.1813, 0.1402, 0.0000)  10 Ir 2.66-2.77
Ti (0.3187, 0.6402, 0.0000)  10 Ir 2.66-2.77
Ti (0.6813, 0.3598, 0.0000)  10 Ir 2.66-2.77
Ti (0.8187, 0.8598, 0.0000)  10 Ir 2.66-2.77
Si (0.0000, 0.5000, 0.5000)  8 Ir 2.49-2.72
Si (0.5000, 0.0000, 0.5000)  8 Ir 2.49-2.72
Ir (0.0000, 0.0000, 0.5000)  4 Ti 2.66, 2 Si 2.72, 6 Ir 2.74-2.84
Ir (0.0638, 0.7460, 0.5000)  1 Si 2.65, 4 Ti 2.66-2.67, 7 Ir 2.72-2.86
Ir (0.1861, 0.3934, 0.0000)  2 Si 2.49, 4 Ti 2.71-2.77
Ir (0.3139, 0.8934, 0.0000)  2 Si 2.49, 4 Ti 2.71-2.77
Ir (0.4362, 0.2460, 0.5000)  1 Si 2.65, 4 Ti 2.66-2.67, 7 Ir 2.72-2.86
Ir (0.5000, 0.5000, 0.5000)  4 Ti 2.66, 2 Si 2.72, 6 Ir 2.74-2.84
Ir (0.5638, 0.7540, 0.5000)  1 Si 2.65, 4 Ti 2.66-2.67, 7 Ir 2.72-2.86
Ir (0.6861, 0.1066, 0.0000)  2 Si 2.49, 4 Ti 2.71-2.77
Ir (0.8139, 0.6066, 0.0000)  2 Si 2.49, 4 Ti 2.71-2.77
Ir (0.9362, 0.2540, 0.5000)  1 Si 2.65, 4 Ti 2.66-2.67, 7 Ir 2.72-2.86

Results
Crystal system: orthorhombic
Magnetic moment: 0.0000 μB/atom
Space group: Pbam (55)
E: -9.03 eV per atom



Entry 8:
Dy2MgPa: relaxed, PBE.

Unit cell a=5.3987 b=5.3987 c=5.3987 alpha=60.00 beta=60.00 gamma=60.00
Last column: nearest neighbours and their distance in Å.
Fractional positions:
Dy (0.2500, 0.2500, 0.2500)  4 Pa 3.31, 4 Mg 3.31
Dy (0.7500, 0.7500, 0.7500)  4 Pa 3.31, 4 Mg 3.31
Mg (0.0000, 0.0000, 0.0000)  8 Dy 3.31
Pa (0.5000, 0.5000, 0.5000)  8 Dy 3.31

Results
Crystal system: cubic
Magnetic moment: 0.4494 μB/atom
Space group: Fm-3m (225)
Excess energy over the best structure of this formula in the dataset: 292 meV per atom
ΔH_f (0 K): 0.34 eV per atom
E: -4.73 eV per atom



Entry 9:
Al2CuSb: relaxed, PBE.

Unit cell a=5.4175 b=5.4175 c=5.4175 alpha=136.84 beta=136.84 gamma=62.68
Last column: nearest neighbours and their distance in Å.
Fractional positions:
Al (0.2500, 0.7500, 0.5000)  4 Al 2.82, 4 Sb 3.05, 4 Cu 3.05
Al (0.7500, 0.2500, 0.5000)  4 Al 2.82, 4 Sb 3.05, 4 Cu 3.05
Cu (0.0000, 0.0000, 0.0000)  4 Sb 2.82, 8 Al 3.05
Sb (0.5000, 0.5000, 0.0000)  4 Cu 2.82, 8 Al 3.05

Results
Crystal system: tetragonal
Magnetic moment: 0.0000 μB/atom
Space group: I4/mmm (139)
E: -3.73 eV per atom



Entry 10:
ReNiW2: relaxed, PBE.

Unit cell a=2.6879 b=4.4194 c=5.0328 alpha=90.00 beta=97.41 gamma=90.00
Last column: nearest neighbours and their distance in Å.
Fractional positions:
Re (0.0000, 0.0000, 0.0000)  2 Ni 2.63, 5 W 2.65-2.88, 2 Re 2.69
Ni (0.0459, 0.5000, 0.7215)  7 W 2.57-2.87, 2 Re 2.63, 2 Ni 2.69
W (0.4483, 0.0000, 0.5109)  4 W 2.69-2.77, 3 Re 2.70-2.88, 4 Ni 2.73-2.85
W (0.6945, 0.5000, 0.2216)  3 Ni 2.57-2.87, 2 Re 2.65, 4 W 2.69-2.77

Results
Crystal system: monoclinic
Magnetic moment: 0.0000 μB/atom
Space group: Pm (6)
Excess energy over the best structure of this formula in the dataset: 69 meV per atom
ΔH_f (0 K): 0.13 eV per atom
E: -10.91 eV per atom



Entry 11:
TcBi3S: relaxed, PBE.

Unit cell a=5.3137 b=5.3137 c=5.3137 alpha=90.00 beta=90.00 gamma=90.00
Last column: nearest neighbours and their distance in Å.
Fractional positions:
Tc (0.0000, 0.0000, 0.0000)  12 Bi 3.76
Bi (0.0000, 0.5000, 0.5000)  2 S 2.66
Bi (0.5000, 0.0000, 0.5000)  2 S 2.66
Bi (0.5000, 0.5000, 0.0000)  2 S 2.66
S (0.5000, 0.5000, 0.5000)  6 Bi 2.66

Results
Crystal system: cubic
Magnetic moment: 0.5228 μB/atom
Space group: Pm-3m (221)
Excess energy over the best structure of this formula in the dataset: 499 meV per atom
E: -4.18 eV per atom



Question: What is the formula in the fifth record?
Answer: CsKAg